The following is a PBE-GGA calculation of crystalline SbMoSeN2 at its relaxed geometry, from the Alexandria database.

SG = P4/mmm (123)
Offset from the most stable computed form = 992 meV/atom
Mass density = 5.996 Mg/m³
E_form (uncorrected) = 148 kJ per mole of atoms

a = 4.0133 Å, b = 4.0133 Å, c = 5.5821 Å
α = 90.00°, β = 90.00°, γ = 90.00°
Last column: nearest neighbours and their distance in Å.
Fractional coordinates of all 5 atoms:
Sb (0.0000, 0.0000, 0.0000)  4 N 2.01
Mo (0.5000, 0.5000, 0.5000)  4 Se 2.84
Se (0.0000, 0.0000, 0.5000)  2 Sb 2.79, 4 Mo 2.84
N (0.0000, 0.5000, 0.0000)  2 Sb 2.01
N (0.5000, 0.0000, 0.0000)  2 Sb 2.01